# 1
The following is a GGA-PBE calculation of a relaxed structure of HoScSn2, from OQMD.

Computed properties:
- spin magnetization (μB per cell) = 0.31
- crystal system = orthorhombic
- E (eV per atom) = -4.595

POSCAR file:
```
HoScSn2
1.0
3.255 0.000 0.000
0.000 3.021 6.007
0.000 -3.021 6.007
Ho Sn Sc
1 2 1
Cartesian
1.627 0.000 7.609 Ho
1.627 0.000 1.470 Sn
1.627 0.000 10.646 Sn
1.627 0.000 4.301 Sc
```



# 2
The following is a GGA-PBE calculation of a relaxed structure of HoScZn2Sn2, from OQMD.

Computed properties:
- offset from the most stable computed form (meV/atom) = 0
- spin magnetization (μB per cell) = 0.01
- crystal system = hexagonal

POSCAR file:
```
HoScZn2Sn2
1.0
-3.030 -2.146 -2.443
-0.074 -0.338 4.432
-9.301 12.245 0.778
Ho Sc Sn Zn
2 2 4 4
Cartesian
-4.650 6.123 0.389 Ho
0.000 0.000 0.000 Ho
-2.325 3.061 0.195 Sc
-6.976 9.184 0.584 Sc
-5.617 3.159 0.147 Sn
-9.281 9.885 2.828 Sn
-3.124 -0.123 -0.061 Sn
-6.788 6.602 2.620 Sn
-2.585 1.068 2.268 Zn
-4.184 3.173 2.402 Zn
-9.820 8.693 0.499 Zn
-8.221 6.588 0.365 Zn
```



# 3
The following is a GGA-PBE calculation of a relaxed structure of HoScZn2Sn2, from OQMD.

Computed properties:
- offset from the most stable computed form (meV/atom) = 12
- spin magnetization (μB per cell) = 0.01
- crystal system = hexagonal

POSCAR file:
```
HoScZn2Sn2
1.0
4.476 0.000 0.000
-2.238 3.876 0.000
0.000 0.000 15.046
Sn Ho Zn Sc
4 2 4 2
Cartesian
0.000 2.584 9.122 Sn
2.238 1.292 1.599 Sn
0.000 2.584 13.447 Sn
2.238 1.292 5.924 Sn
0.000 0.000 11.285 Ho
0.000 0.000 3.762 Ho
2.238 1.292 12.691 Zn
0.000 2.584 5.168 Zn
0.000 2.584 2.355 Zn
2.238 1.292 9.878 Zn
0.000 0.000 0.000 Sc
0.000 0.000 7.523 Sc
```



# 4
The following is a GGA-PBE calculation of a relaxed structure of SrHoSc, from OQMD.

Computed properties:
- offset from the most stable computed form (meV/atom) = 0
- spin magnetization (μB per cell) = 0.00
- crystal system = cubic

POSCAR file:
```
SrHoSc
1.0
-5.334 -1.348 -0.765
-3.536 0.116 4.283
-3.921 3.926 0.259
Sr Ho Sc
1 1 1
Cartesian
-9.594 2.021 2.833 Sr
-3.198 0.674 0.944 Ho
0.000 0.000 0.000 Sc
```



# 5
The following is a GGA-PBE calculation of a relaxed structure of HoScTa, from OQMD.

Computed properties:
- offset from the most stable computed form (meV/atom) = 0
- formation enthalpy at 0 K (eV per atom) = 1.17
- spin magnetization (μB per cell) = 1.02
- crystal system = cubic

POSCAR file:
```
HoScTa
1.0
0.000 3.415 3.415
3.415 0.000 3.415
3.415 3.415 0.000
Sc Ta Ho
1 1 1
Cartesian
0.000 0.000 0.000 Sc
5.122 5.122 5.122 Ta
1.707 1.707 1.707 Ho
```



# 6
The following is a GGA-PBE calculation of a relaxed structure of HoScTa, from OQMD.

Computed properties:
- offset from the most stable computed form (meV/atom) = 147
- formation enthalpy at 0 K (eV per atom) = 1.32
- spin magnetization (μB per cell) = 1.10
- crystal system = cubic

POSCAR file:
```
HoScTa
1.0
0.000 3.419 3.419
3.419 0.000 3.419
3.419 3.419 0.000
Ho Sc Ta
1 1 1
Cartesian
0.000 0.000 0.000 Ho
1.710 1.710 1.710 Sc
5.129 5.129 5.129 Ta
```



# 7
The following is a GGA-PBE calculation of a relaxed structure of TbHoSc, from OQMD.

Computed properties:
- offset from the most stable computed form (meV/atom) = 0
- formation enthalpy at 0 K (eV per atom) = 0.69
- spin magnetization (μB per cell) = 0.02
- crystal system = cubic

POSCAR file:
```
TbHoSc
1.0
2.112 -1.154 4.645
-1.943 -3.931 2.853
2.754 -4.407 0.599
Ho Sc Tb
1 1 1
Cartesian
0.731 -2.373 2.024 Ho
0.000 0.000 0.000 Sc
2.192 -7.119 6.073 Tb
```



# 8
The following is a GGA-PBE calculation of a relaxed structure of HoSc2Tc, from OQMD.

Computed properties:
- formation enthalpy at 0 K (eV per atom) = -0.16
- spin magnetization (μB per cell) = 0.02
- crystal system = orthorhombic

POSCAR file:
```
HoSc2Tc
1.0
7.376 0.000 0.000
0.000 8.463 0.000
0.000 0.000 5.839
Sc Ho Tc
8 4 4
Cartesian
2.410 0.534 0.812 Sc
4.966 7.929 5.027 Sc
6.098 0.534 2.107 Sc
4.966 4.766 5.027 Sc
2.410 3.697 0.812 Sc
1.278 7.929 3.732 Sc
1.278 4.766 3.732 Sc
6.098 3.697 2.107 Sc
0.268 6.347 0.689 Ho
7.108 2.116 5.150 Ho
3.420 2.116 3.608 Ho
3.956 6.347 2.230 Ho
2.822 6.347 5.414 Tc
4.554 2.116 0.425 Tc
6.510 6.347 3.344 Tc
0.866 2.116 2.494 Tc
```



> The lowest spin magnetization belongs to which entry?

SrHoSc